1.
Compound: NbZn3Bi
Source: the Alexandria database
Functional: SCAN
Structure: PBEsol geometry Values from VASP.

Structure (Quantum ESPRESSO input):
```
&SYSTEM
  ibrav = 0, nat = 5, ntyp = 3
/
ATOMIC_SPECIES
Zn 65.41 Zn.upf
Bi 208.98 Bi.upf
Nb 92.91 Nb.upf
CELL_PARAMETERS angstrom
5.153 0.000 0.000
0.000 5.153 0.000
0.000 0.000 5.153
ATOMIC_POSITIONS angstrom
Zn 0.000 0.000 2.577
Zn 2.577 0.000 0.000
Zn 0.000 2.577 0.000
Bi 0.000 0.000 0.000
Nb 2.577 2.577 2.577
```

## Properties
The formation energy is 1428 meV per atom.

***

2.
Compound: Y2ScPt
Source: the Alexandria database
Functional: SCAN
Structure: PBEsol geometry Values from VASP.

Structure (Quantum ESPRESSO input):
```
&SYSTEM
  ibrav = 0, nat = 4, ntyp = 3
/
ATOMIC_SPECIES
Y 88.91 Y.upf
Sc 44.96 Sc.upf
Pt 195.08 Pt.upf
CELL_PARAMETERS angstrom
3.536 0.000 0.000
0.000 5.042 0.000
-1.768 -2.521 5.310
ATOMIC_POSITIONS angstrom
Y 1.768 0.000 3.104
Y 1.768 2.521 5.302
Sc 0.000 2.521 2.122
Pt 1.768 2.521 0.093
```

## Properties
The relative energy among the computed polymorphs is 0.000 eV per atom. The formation energy is -784 meV per atom.

***

3.
Compound: TaSe2Br
Source: the Alexandria database
Functional: SCAN
Structure: PBEsol geometry Values from VASP.

Structure (Quantum ESPRESSO input):
```
&SYSTEM
  ibrav = 0, nat = 4, ntyp = 3
/
ATOMIC_SPECIES
Br 79.90 Br.upf
Ta 180.95 Ta.upf
Se 78.96 Se.upf
CELL_PARAMETERS angstrom
-1.101 1.941 2.601
-0.496 -4.910 3.454
5.379 3.116 -0.048
ATOMIC_POSITIONS angstrom
Br 2.992 1.347 2.519
Ta 1.975 -0.811 1.441
Se 0.302 0.028 0.107
Se 0.955 -1.315 3.643
```

## Properties
The relative energy among the computed polymorphs is 0.019 eV per atom. The uncorrected formation energy comes out at -0.65 eV/atom.

***

4.
Compound: Mg2RhCl
Source: the Alexandria database
Functional: SCAN
Structure: PBEsol geometry Values from VASP.

Structure (Quantum ESPRESSO input):
```
&SYSTEM
  ibrav = 0, nat = 4, ntyp = 3
/
ATOMIC_SPECIES
Rh 102.91 Rh.upf
Mg 24.30 Mg.upf
Cl 35.45 Cl.upf
CELL_PARAMETERS angstrom
3.240 0.000 0.000
1.620 4.891 0.160
1.620 2.125 4.408
ATOMIC_POSITIONS angstrom
Rh 1.620 0.000 0.000
Mg 3.240 1.828 1.190
Mg 3.240 5.188 3.378
Cl 1.620 3.508 2.284
```

## Properties
The relative energy among the computed polymorphs is 0.118 eV per atom. The uncorrected formation energy comes out at -0.21 eV/atom.

***

| no. | DOS at the Fermi energy (states/eV/atom) | raw total energy (Ry/atom) |
| --- | --- | --- |
| 1 | 1.02 | -2.133 |
| 2 | 1.05 | -2.632 |
| 3 | 0.07 | -2.367 |
| 4 | 0.38 | -0.965 |